First-principles (PBE) data for crystalline CsNaTc2O6 at its relaxed geometry, as listed in the Alexandria database. Values from VASP.

## Properties
* space-group type: C2/c
* ΔE_f (raw): -1.30 eV per atom

```
&SYSTEM
  ibrav = 0, nat = 20, ntyp = 4
/
ATOMIC_SPECIES
Cs 132.91 Cs.upf
Na 22.99 Na.upf
Tc 98.00 Tc.upf
O 16.00 O.upf
ATOMIC_POSITIONS angstrom
Cs 3.870 5.461 5.421
Cs 4.391 -5.461 1.807
Na 4.391 2.080 1.807
Na 3.870 -2.080 5.421
Tc 1.587 1.990 5.588
Tc 2.109 -1.990 1.974
Tc 6.153 1.990 5.253
Tc 6.674 -1.990 1.639
O 2.507 3.511 1.907
O 0.931 0.731 4.588
O 1.453 -0.731 0.974
O 2.705 1.600 6.858
O 6.275 3.511 1.707
O 5.035 1.600 3.983
O 3.227 -1.600 3.244
O 1.986 -3.511 5.521
O 5.556 -1.600 0.369
O 6.808 0.731 6.253
O 7.330 -0.731 2.640
O 5.754 -3.511 5.321
CELL_PARAMETERS angstrom
4.652 -7.157 0.000
4.652 7.157 0.000
-1.043 0.000 7.228
```